Compound: LiCu3B
Source: Alexandria
Functional: PBE-GGA
Structure: relaxed Values from VASP.

Summary:
Space-group type: Pm-3m, No. 221
Energy in eV for the cell shown: -14.1

```
&SYSTEM
  ibrav = 0, nat = 5, ntyp = 3
/
ATOMIC_SPECIES
B 10.81 B.upf
Cu 63.55 Cu.upf
Li 6.94 Li.upf
CELL_PARAMETERS angstrom
-3.795 1.109 -0.383
0.099 -0.991 -3.845
-1.169 -3.683 0.919
ATOMIC_POSITIONS angstrom
B -2.433 -1.783 -1.655
Cu 0.049 -0.496 -1.923
Cu -0.584 -1.842 0.460
Cu -1.898 0.554 -0.192
Li 0.000 0.000 0.000
```